[1]
A geometry-optimized FeTc2Pt structure, computed with PBE.

Cell lengths 4.7071, 4.7071, 4.7584 Å; angles 80.85, 80.85, 33.06 degrees
With the nearest neighbours (Å) after each atom.
Atoms (fractional coordinates):
Fe: 0.4984 0.4984 0.4995  7 Tc 2.68-2.79, 2 Fe 2.68, 3 Pt 2.69-2.71
Tc: 0.9976 0.9976 0.9867  5 Tc 2.61-2.75, 4 Fe 2.68-2.78, 3 Pt 2.75-2.79
Pt: 0.2486 0.2486 0.2606  2 Pt 2.68, 3 Fe 2.69-2.71, 7 Tc 2.71-2.79
Tc: 0.7554 0.7554 0.7531  5 Tc 2.61-2.75, 3 Fe 2.68-2.79, 4 Pt 2.71-2.75

Values from the calculation:
Space-group type ... No. 8

[2]
A geometry-optimized AlTl2Pb2 structure, computed with PBE.

Cell lengths 7.5660, 7.5660, 5.4847 Å; angles 90.00, 90.00, 90.00 degrees
With the nearest neighbours (Å) after each atom.
Atoms (fractional coordinates):
Tl: 0.6653 0.8347 0.5000  6 Pb 3.39-3.63, 1 Tl 3.54
Tl: 0.3347 0.1653 0.5000  6 Pb 3.39-3.63, 1 Tl 3.54
Pb: 0.3522 0.8522 0.0000  2 Al 2.89, 1 Pb 3.16
Tl: 0.1653 0.6653 0.5000  6 Pb 3.39-3.63, 1 Tl 3.54
Pb: 0.6478 0.1478 0.0000  2 Al 2.89, 1 Pb 3.16
Pb: 0.8522 0.6478 0.0000  2 Al 2.89, 1 Pb 3.16
Pb: 0.1478 0.3522 0.0000  2 Al 2.89, 1 Pb 3.16
Al: 0.0000 0.0000 0.0000  4 Pb 2.89
Al: 0.5000 0.5000 0.0000  4 Pb 2.89
Tl: 0.8347 0.3347 0.5000  6 Pb 3.39-3.63, 1 Tl 3.54

Values from the calculation:
Space-group type ... No. 127

| no. | ΔE_f (eV/atom) |
| --- | --- |
| 1 | -0.02 |
| 2 | 0.19 |